VASP calculation (PBE) on a relaxed structure of Cs2CdHgSe.

Cell and atoms, written as POSCAR:
```
Cs2CdHgSe
1.0
7.0329 0.0000 0.0000
0.0000 7.0329 0.0000
0.0000 0.0000 5.5916
Cs Cd Hg Se
2 1 1 1
Direct
0.0000 0.5000 0.0000 Cs
0.5000 0.0000 0.0000 Cs
0.0000 0.0000 0.5000 Cd
0.5000 0.5000 0.5000 Hg
0.0000 0.0000 0.0000 Se
```

## Properties
SG: No. 123
Formation energy (no corrections), meV/atom: -423

***

VASP calculation (PBE) on a relaxed structure of Cs2Cd4Sn3Hg.

Cell and atoms, written as POSCAR:
```
Cs2Cd4Sn3Hg
1.0
5.1597 0.0000 0.0000
0.0000 5.1597 0.0000
0.0000 0.0000 12.2276
Cs Cd Sn Hg
2 4 3 1
Direct
0.0000 0.5000 0.2493 Cs
0.5000 0.0000 0.7507 Cs
0.0000 0.0000 0.5000 Cd
0.0000 0.5000 0.8691 Cd
0.5000 0.0000 0.1309 Cd
0.5000 0.5000 0.5000 Cd
0.0000 0.0000 0.0000 Sn
0.0000 0.5000 0.6277 Sn
0.5000 0.0000 0.3723 Sn
0.5000 0.5000 0.0000 Hg
```

## Properties
Formation enthalpy at 0 K, eV/atom: -0.129
SG: No. 115

***

VASP calculation (PBE) on a relaxed structure of CsCdSnHg2.

Cell and atoms, written as POSCAR:
```
CsCdSnHg2
1.0
6.0672 0.0000 0.0000
0.0000 6.0672 0.0000
0.0000 0.0000 5.5788
Cs Cd Sn Hg
1 1 1 2
Direct
0.0000 0.0000 0.0000 Cs
0.5000 0.5000 0.0000 Cd
0.5000 0.5000 0.5000 Sn
0.0000 0.5000 0.5000 Hg
0.5000 0.0000 0.5000 Hg
```

## Properties
Formation enthalpy at 0 K, eV/atom: -0.045
SG: No. 123
Polymorph energy (0 for the lowest one), meV/atom: 0

***

VASP calculation (PBE) on a relaxed structure of CsCd2SnHg.

Cell and atoms, written as POSCAR:
```
CsCd2SnHg
1.0
5.7470 0.0000 0.0000
0.0000 5.7470 0.0000
0.0000 0.0000 6.1014
Cs Cd Sn Hg
1 2 1 1
Direct
0.0000 0.0000 0.0000 Cs
0.0000 0.5000 0.5000 Cd
0.5000 0.0000 0.5000 Cd
0.5000 0.5000 0.5000 Sn
0.5000 0.5000 0.0000 Hg
```

## Properties
Formation enthalpy at 0 K, eV/atom: 0.030
SG: No. 123
Polymorph energy (0 for the lowest one), meV/atom: 120

***

VASP calculation (PBE) on a relaxed structure of CsCd2SnHg.

Cell and atoms, written as POSCAR:
```
CsCd2SnHg
1.0
8.2996 0.0000 0.0000
0.0000 4.8666 0.0000
-3.1546 0.0000 8.8697
Cs Cd Sn Hg
2 4 2 2
Direct
0.2034 0.2500 0.4079 Cs
0.7966 0.7500 0.5921 Cs
0.2792 0.2500 0.9709 Cd
0.4537 0.7500 0.1714 Cd
0.5463 0.2500 0.8286 Cd
0.7208 0.7500 0.0291 Cd
0.3264 0.7500 0.7681 Sn
0.6736 0.2500 0.2319 Sn
0.0925 0.7500 0.0838 Hg
0.9075 0.2500 0.9162 Hg
```

## Properties
Formation enthalpy at 0 K, eV/atom: -0.090
SG: No. 11
Polymorph energy (0 for the lowest one), meV/atom: 0

***

VASP calculation (PBE) on a relaxed structure of CsCdSnHg2.

Cell and atoms, written as POSCAR:
```
CsCdSnHg2
1.0
5.8830 0.0000 0.0000
0.0000 5.8830 0.0000
0.0000 0.0000 5.5891
Cs Cd Sn Hg
1 1 1 2
Direct
0.0000 0.0000 0.0000 Cs
0.5000 0.5000 0.5000 Cd
0.5000 0.5000 0.0000 Sn
0.0000 0.5000 0.5000 Hg
0.5000 0.0000 0.5000 Hg
```

## Properties
Formation enthalpy at 0 K, eV/atom: 0.022
SG: No. 123
Polymorph energy (0 for the lowest one), meV/atom: 68

***

Number 1: E_tot -1.7045 eV per atom, magnetization 0.00 μB/f.u.. Number 2: E_tot -1.8971 eV per atom, magnetization 0.00 μB/f.u.. Number 3: E_tot -1.3203 eV per atom, magnetization 0.00 μB/f.u.. Number 4: E_tot -1.3680 eV per atom, magnetization 0.00 μB/f.u.. Number 5: E_tot -1.4881 eV per atom, magnetization 0.00 μB/f.u.. Number 6: E_tot -1.2528 eV per atom, magnetization 0.00 μB/f.u..